Entry P
Entry from Alexandria via LeMat-Bulk: an optimized crystal structure of Tl2SbRu (PBE).

Output
The density of states at the Fermi level is 0.964 states/eV/atom. The total magnetization comes out at 0.948 μB per cell.

a b c (Å): 3.3779 3.3779 28.7297
angles (deg): 90.00 90.00 120.00
Space group R-3m (No. 166, hexagonal axes)
Unique sites:
Tl: 0.0000 0.0000 0.2375
Sb: 0.0000 0.0000 0.0000
Ru: 0.0000 0.0000 0.5000



Entry Q
Entry from Alexandria via LeMat-Bulk: an optimized crystal structure of Tl2SbRu (PBE).

Output
The density of states at the Fermi level is 1.046 states/eV/atom. The total magnetization comes out at 0.003 μB per cell.

a b c (Å): 6.188 8.767 3.364
angles (deg): 90.00 90.00 90.00
Space group Cmmm (No. 65)
Unique sites:
Tl: 0.250 0.250 0.000
Sb: 0.000 0.000 0.500
Ru: 0.000 0.500 0.500



What should be chosen as the most stable of them? Choose entry P.



Entry P
Entry from Alexandria via LeMat-Bulk: an optimized crystal structure of Tl2SbRu (PBE).

Output
The density of states at the Fermi level is 0.843 states/eV/atom. The total magnetization comes out at 0.000 μB per cell.

a b c (Å): 3.172 4.303 15.228
angles (deg): 90.00 90.00 90.00
Space group Immm (No. 71)
Unique sites:
Tl: 0.000 0.000 0.178
Sb: 0.000 0.500 0.000
Ru: 0.000 0.500 0.500



Entry Q
Entry from Alexandria via LeMat-Bulk: an optimized crystal structure of Tl2SbRu (PBE).

Output
The density of states at the Fermi level is 0.884 states/eV/atom. The total magnetization comes out at 0.002 μB per cell.

a b c (Å): 3.633 5.166 5.277
angles (deg): 90.00 97.67 90.00
Space group P2/m (No. 10)
Unique sites:
Tl: 0.203 0.000 0.268
Sb: 0.500 0.500 0.000
Ru: 0.500 0.500 0.500



Entry R
Entry from Alexandria via LeMat-Bulk: an optimized crystal structure of Tl2SbRu (PBE).

Output
The density of states at the Fermi level is 1.588 states/eV/atom. The total magnetization comes out at 0.000 μB per cell.

a b c (Å): 7.181 7.181 7.181
angles (deg): 90.00 90.00 90.00
Space group Fm-3m (No. 225)
Unique sites:
Tl: 0.250 0.250 0.250
Sb: 0.000 0.000 0.000
Ru: 0.000 0.000 0.500



Entry S
Entry from Alexandria via LeMat-Bulk: an optimized crystal structure of Tl2SbRu (PBE).

Output
The density of states at the Fermi level is 0.941 states/eV/atom. The total magnetization comes out at 0.000 μB per cell.

a b c (Å): 4.445 4.445 4.612
angles (deg): 90.00 90.00 90.00
Space group P4/mmm (No. 123)
Unique sites:
Tl: 0.000 0.500 0.000
Sb: 0.000 0.000 0.500
Ru: 0.500 0.500 0.500



What should be chosen as the most stable of them? Choose entry P.



Entry P
Entry from Alexandria via LeMat-Bulk: an optimized crystal structure of TlSb2Ru2 (PBE).

Output
The density of states at the Fermi level is 0.861 states/eV/atom. The total magnetization comes out at 0.000 μB per cell.

a b c (Å): 7.954 7.954 3.134
angles (deg): 90.00 90.00 90.00
Space group P4/mbm (No. 127)
Unique sites:
Tl: 0.000 0.000 0.000
Sb: 0.147 0.353 0.500
Ru: 0.139 0.639 0.000



Entry Q
Entry from Alexandria via LeMat-Bulk: an optimized crystal structure of TlSb2Ru2 (PBE).

Output
The density of states at the Fermi level is 0.606 states/eV/atom. The total magnetization comes out at 0.000 μB per cell.

a b c (Å): 4.606 4.606 10.529
angles (deg): 90.00 90.00 90.00
Space group I4/mmm (No. 139)
Unique sites:
Tl: 0.000 0.000 0.000
Sb: 0.000 0.500 0.250
Ru: 0.000 0.000 0.384



What should be chosen as the most stable of them? Choose entry P.



Entry P
Entry from Alexandria via LeMat-Bulk: an optimized crystal structure of Tm2SbRu (PBE).

Output
The density of states at the Fermi level is 0.321 states/eV/atom. The total magnetization comes out at 0.000 μB per cell.

a b c (Å): 3.370 3.370 8.021
angles (deg): 90.00 90.00 90.00
Space group P4/mmm (No. 123)
Unique sites:
Tm: 0.000 0.000 0.205
Sb: 0.500 0.500 0.500
Ru: 0.500 0.500 0.000



Entry Q
Entry from Alexandria via LeMat-Bulk: an optimized crystal structure of Tm2SbRu (PBE).

Output
The density of states at the Fermi level is 0.750 states/eV/atom. The total magnetization comes out at 0.000 μB per cell.

a b c (Å): 4.4961 4.4961 5.7222
angles (deg): 90.00 90.00 120.00
Space group P-3m1 (No. 164)
Unique sites:
Tm: 0.3333 0.6667 0.2111
Sb: 0.0000 0.0000 0.5000
Ru: 0.0000 0.0000 0.0000



What should be chosen as the most stable of them? Choose entry P.